# 1
VASP calculation (GGA-PBE) on a relaxed ScCd4 crystal.

a b c (Å): 5.675 5.675 5.675
angles (deg): 90.00 90.00 90.00
Space group Pm-3m (No. 221)
Inequivalent atoms, fractional coordinates:
Sc1 0.000 0.000 0.000 x1
Cd1 0.000 0.000 0.500 x3
Cd2 0.500 0.500 0.500 x1

Output
ΔE to the lowest computed polymorph: 741 meV/atom
energy: -1.3798 eV per atom

---

# 2
VASP calculation (GGA-PBE) on a relaxed Sc5Cd2 crystal.

a b c (Å): 8.690 4.998 7.971
angles (deg): 90.00 111.09 90.00
Space group C2/m (No. 12)
Inequivalent atoms, fractional coordinates:
Sc1 0.000 0.000 0.000 x2
Sc2 0.071 0.500 0.715 x4
Sc3 0.155 0.000 0.466 x4
Cd1 0.213 0.500 0.138 x4

Output
energy: -4.9247 eV per atom

---

# 3
VASP calculation (GGA-PBE) on a relaxed Sc3Cd crystal.

a b c (Å): 6.491 8.622 3.360
angles (deg): 90.00 90.00 90.00
Space group Cmmm (No. 65)
Inequivalent atoms, fractional coordinates:
Sc1 0.000 0.000 0.000 x2
Sc2 0.250 0.250 0.500 x4
Cd1 0.000 0.500 0.000 x2

Output
ΔE to the lowest computed polymorph: 63 meV/atom
energy: -5.0490 eV per atom

---

# 4
VASP calculation (GGA-PBE) on a relaxed ScCd4 crystal.

a b c (Å): 5.208 6.193 7.972
angles (deg): 106.83 90.56 114.36
Space group P-1 (No. 2)
Inequivalent atoms, fractional coordinates:
Sc1 0.164 0.499 0.249 x2
Cd1 0.030 0.898 0.145 x2
Cd2 0.229 0.295 0.548 x2
Cd3 0.367 0.895 0.643 x2
Cd4 0.435 0.707 0.954 x2

Output
ΔE to the lowest computed polymorph: 5 meV/atom
energy: -2.1162 eV per atom

---

# 5
VASP calculation (GGA-PBE) on a relaxed Sc3Cd crystal.

a b c (Å): 10.2449 10.2449 3.0737
angles (deg): 90.00 90.00 120.00
Space group R-3m (No. 166, hexagonal axes)
Inequivalent atoms, fractional coordinates:
Sc1 0.0000 0.5000 0.0000 x9
Cd1 0.0000 0.0000 0.0000 x3

Output
ΔE to the lowest computed polymorph: 109 meV/atom
energy: -5.0030 eV per atom

---

# 6
VASP calculation (GGA-PBE) on a relaxed Sc5Cd3 crystal.

a b c (Å): 8.121 9.491 4.738
angles (deg): 90.00 90.00 90.00
Space group Cmmm (No. 65)
Inequivalent atoms, fractional coordinates:
Sc1 0.000 0.000 0.000 x2
Sc2 0.231 0.500 0.500 x4
Sc3 0.250 0.250 0.000 x4
Cd1 0.000 0.229 0.500 x4
Cd2 0.000 0.500 0.000 x2

Output
ΔE to the lowest computed polymorph: 30 meV/atom
energy: -4.4708 eV per atom